Entry 1
{
  "formula": "ReTc3",
  "functional": "meta-GGA SCAN",
  "state": "single point on PBEsol structure",
  "lattice_angstrom": [[5.457, 0.000, 0.000], [0.000, 13.189, 0.000], [0.000, 0.000, 4.718]],
  "species": ["Re", "Re", "Re", "Re", "Re", "Re", "Tc", "Tc", "Tc", "Tc", "Tc", "Tc", "Tc", "Tc", "Tc", "Tc", "Tc", "Tc", "Tc", "Tc", "Tc", "Tc", "Tc", "Tc"],
  "fractional_positions": [[0.250, 0.084, 0.166], [0.250, 0.416, 0.166], [0.250, 0.750, 0.500], [0.750, 0.250, 0.500], [0.750, 0.584, 0.834], [0.750, 0.916, 0.834], [0.000, 0.083, 0.667], [0.000, 0.417, 0.667], [0.000, 0.583, 0.333], [0.000, 0.917, 0.333], [0.001, 0.750, 0.999], [0.250, 0.250, 0.500], [0.250, 0.583, 0.834], [0.250, 0.917, 0.834], [0.499, 0.750, 0.999], [0.500, 0.083, 0.667], [0.500, 0.417, 0.667], [0.500, 0.583, 0.333], [0.500, 0.917, 0.333], [0.501, 0.250, 0.001], [0.750, 0.083, 0.166], [0.750, 0.417, 0.166], [0.750, 0.750, 0.500], [0.999, 0.250, 0.001]],
  "density_g_cm3": 14.09
}

Entry 2
{
  "formula": "ReTc3",
  "functional": "meta-GGA SCAN",
  "state": "single point on PBEsol structure",
  "lattice_angstrom": [[2.718, 0.000, 0.000], [0.000, 2.718, 0.000], [0.000, 0.000, 7.679]],
  "species": ["Re", "Tc", "Tc", "Tc"],
  "fractional_positions": [[0.000, 0.000, 0.000], [0.000, 0.000, 0.500], [0.500, 0.500, 0.251], [0.500, 0.500, 0.749]],
  "density_g_cm3": 14.06
}

Entry 3
{
  "formula": "ReTc3",
  "functional": "meta-GGA SCAN",
  "state": "single point on PBEsol structure",
  "lattice_angstrom": [[2.728, 0.000, 0.000], [-1.364, 2.362, 0.000], [0.000, 0.000, 8.763]],
  "species": ["Re", "Tc", "Tc", "Tc"],
  "fractional_positions": [[0.000, 0.000, 0.000], [0.000, 0.000, 0.500], [0.667, 0.333, 0.252], [0.667, 0.333, 0.748]],
  "density_g_cm3": 14.12
}

Entry 4
{
  "formula": "ReTc3",
  "functional": "meta-GGA SCAN",
  "state": "single point on PBEsol structure",
  "lattice_angstrom": [[4.725, 0.000, 0.000], [0.000, 8.766, 0.000], [0.000, 0.000, 5.453]],
  "species": ["Re", "Re", "Re", "Re", "Tc", "Tc", "Tc", "Tc", "Tc", "Tc", "Tc", "Tc", "Tc", "Tc", "Tc", "Tc"],
  "fractional_positions": [[0.083, 0.250, 0.125], [0.417, 0.750, 0.625], [0.583, 0.250, 0.375], [0.917, 0.750, 0.875], [0.084, 0.250, 0.625], [0.249, 0.503, 0.375], [0.249, 0.997, 0.375], [0.251, 0.003, 0.875], [0.251, 0.497, 0.875], [0.416, 0.750, 0.125], [0.584, 0.250, 0.875], [0.749, 0.503, 0.125], [0.749, 0.997, 0.125], [0.751, 0.003, 0.625], [0.751, 0.497, 0.625], [0.916, 0.750, 0.375]],
  "density_g_cm3": 14.12
}

Energetically preferred structure: entry 4 | next structure: +0.011 eV/atom

Entry 1
{
  "formula": "ReTc3",
  "functional": "meta-GGA SCAN",
  "state": "single point on PBEsol structure",
  "lattice_angstrom": [[2.712, 0.000, 0.000], [0.000, 3.842, 0.000], [0.000, 0.000, 5.445]],
  "species": ["Re", "Tc", "Tc", "Tc"],
  "fractional_positions": [[0.000, 0.000, 0.000], [0.000, 0.000, 0.500], [0.500, 0.500, 0.252], [0.500, 0.500, 0.748]],
  "density_g_cm3": 14.06
}

Entry 2
{
  "formula": "ReTc3",
  "functional": "meta-GGA SCAN",
  "state": "single point on PBEsol structure",
  "lattice_angstrom": [[5.456, 0.000, 0.000], [-2.728, 4.725, 0.000], [0.000, 0.000, 4.384]],
  "species": ["Re", "Re", "Tc", "Tc", "Tc", "Tc", "Tc", "Tc"],
  "fractional_positions": [[0.333, 0.667, 0.250], [0.667, 0.333, 0.750], [0.167, 0.334, 0.750], [0.167, 0.833, 0.750], [0.334, 0.167, 0.250], [0.666, 0.833, 0.750], [0.833, 0.167, 0.250], [0.833, 0.666, 0.250]],
  "density_g_cm3": 14.11
}

Energetically preferred structure: entry 2 | next structure: +0.057 eV/atom

Entry 1
{
  "formula": "Re5Tc",
  "functional": "meta-GGA SCAN",
  "state": "single point on PBEsol structure",
  "lattice_angstrom": [[2.738, 0.000, 0.000], [0.000, 2.738, 0.000], [0.000, 0.000, 11.637]],
  "species": ["Re", "Re", "Re", "Re", "Re", "Tc"],
  "fractional_positions": [[0.000, 0.000, 0.000], [0.000, 0.000, 0.335], [0.000, 0.000, 0.665], [0.500, 0.500, 0.167], [0.500, 0.500, 0.833], [0.500, 0.500, 0.500]],
  "density_g_cm3": 19.59
}

Entry 2
{
  "formula": "Re5Tc",
  "functional": "meta-GGA SCAN",
  "state": "single point on PBEsol structure",
  "lattice_angstrom": [[5.033, -1.374, 0.000], [5.033, 1.374, 0.000], [-1.659, 0.000, 6.287]],
  "species": ["Re", "Re", "Re", "Re", "Re", "Tc"],
  "fractional_positions": [[0.000, 0.000, 0.000], [0.055, 0.055, 0.610], [0.332, 0.332, 0.666], [0.388, 0.388, 0.278], [0.721, 0.721, 0.945], [0.666, 0.666, 0.334]],
  "density_g_cm3": 19.65
}

Entry 3
{
  "formula": "Re5Tc",
  "functional": "meta-GGA SCAN",
  "state": "single point on PBEsol structure",
  "lattice_angstrom": [[1.937, -5.810, 0.000], [1.937, 5.810, 0.000], [0.000, 0.000, 3.879]],
  "species": ["Re", "Re", "Re", "Re", "Re", "Tc"],
  "fractional_positions": [[0.000, 0.000, 0.000], [0.166, 0.834, 0.500], [0.334, 0.666, 0.000], [0.666, 0.334, 0.000], [0.834, 0.166, 0.500], [0.500, 0.500, 0.500]],
  "density_g_cm3": 19.58
}

Energetically preferred structure: entry 2 | next structure: +0.048 eV/atom

Entry 1
{
  "formula": "TlReTc2",
  "functional": "meta-GGA SCAN",
  "state": "single point on PBEsol structure",
  "lattice_angstrom": [[1.465, -2.370, 0.000], [1.465, 2.370, 0.000], [0.000, 0.000, 9.319]],
  "species": ["Tl", "Re", "Tc", "Tc"],
  "fractional_positions": [[0.000, 0.000, 0.000], [0.500, 0.500, 0.726], [0.000, 0.000, 0.495], [0.500, 0.500, 0.267]],
  "density_g_cm3": 15.06
}

Entry 2
{
  "formula": "TlReTc2",
  "functional": "meta-GGA SCAN",
  "state": "single point on PBEsol structure",
  "lattice_angstrom": [[2.786, -3.897, 0.000], [2.786, 3.897, 0.000], [0.000, 0.000, 2.882]],
  "species": ["Tl", "Re", "Tc", "Tc"],
  "fractional_positions": [[0.000, 0.000, 0.000], [0.500, 0.500, 0.000], [0.000, 0.500, 0.500], [0.500, 0.000, 0.500]],
  "density_g_cm3": 15.56
}

Entry 3
{
  "formula": "TlReTc2",
  "functional": "meta-GGA SCAN",
  "state": "single point on PBEsol structure",
  "lattice_angstrom": [[-1.612, 2.190, 4.446], [1.612, -2.190, 4.446], [1.612, 2.190, -4.446]],
  "species": ["Tl", "Re", "Tc", "Tc"],
  "fractional_positions": [[0.000, 0.000, 0.000], [0.500, 0.500, 0.000], [0.255, 0.755, 0.500], [0.745, 0.245, 0.500]],
  "density_g_cm3": 15.51
}

Energetically preferred structure: entry 1 | next structure: +0.018 eV/atom

Entry 1
{
  "formula": "TlRe2Te",
  "functional": "meta-GGA SCAN",
  "state": "single point on PBEsol structure",
  "lattice_angstrom": [[3.139, 0.000, 0.000], [0.000, 4.531, 0.000], [0.000, 0.000, 5.218]],
  "species": ["Tl", "Re", "Re", "Te"],
  "fractional_positions": [[0.000, 0.000, 0.000], [0.000, 0.500, 0.500], [0.500, 0.500, 0.000], [0.500, 0.000, 0.500]],
  "density_g_cm3": 15.76
}

Entry 2
{
  "formula": "TlRe2Te",
  "functional": "meta-GGA SCAN",
  "state": "single point on PBEsol structure",
  "lattice_angstrom": [[-1.541, 2.619, 4.597], [1.541, -2.619, 4.597], [1.541, 2.619, -4.597]],
  "species": ["Tl", "Re", "Re", "Te"],
  "fractional_positions": [[0.000, 0.000, 0.000], [0.270, 0.770, 0.500], [0.730, 0.230, 0.500], [0.500, 0.500, 0.000]],
  "density_g_cm3": 15.76
}

Entry 3
{
  "formula": "TlRe2Te",
  "functional": "meta-GGA SCAN",
  "state": "single point on PBEsol structure",
  "lattice_angstrom": [[4.292, -1.534, 0.000], [4.292, 1.534, 0.000], [-1.146, 0.000, 5.598]],
  "species": ["Tl", "Re", "Re", "Te"],
  "fractional_positions": [[0.000, 0.000, 0.000], [0.253, 0.253, 0.710], [0.747, 0.747, 0.290], [0.500, 0.500, 0.500]],
  "density_g_cm3": 15.86
}

Energetically preferred structure: entry 3 | next structure: +0.291 eV/atom

Entry 1
{
  "formula": "TlReTe",
  "functional": "meta-GGA SCAN",
  "state": "single point on PBEsol structure",
  "lattice_angstrom": [[4.610, 0.000, 0.000], [-2.305, 3.993, 0.000], [0.000, 0.000, 3.459]],
  "species": ["Tl", "Re", "Te"],
  "fractional_positions": [[0.000, 0.000, 0.000], [0.333, 0.667, 0.500], [0.667, 0.333, 0.500]],
  "density_g_cm3": 13.52
}

Entry 2
{
  "formula": "TlReTe",
  "functional": "meta-GGA SCAN",
  "state": "single point on PBEsol structure",
  "lattice_angstrom": [[-1.600, 1.600, 6.524], [1.600, -1.600, 6.524], [1.600, 1.600, -6.524]],
  "species": ["Tl", "Re", "Te"],
  "fractional_positions": [[0.000, 0.000, 0.000], [0.658, 0.658, 0.000], [0.269, 0.269, 0.000]],
  "density_g_cm3": 12.88
}

Entry 3
{
  "formula": "TlReTe",
  "functional": "meta-GGA SCAN",
  "state": "single point on PBEsol structure",
  "lattice_angstrom": [[3.348, 0.000, 0.000], [-1.674, 2.899, 0.000], [0.000, 0.000, 6.725]],
  "species": ["Tl", "Re", "Te"],
  "fractional_positions": [[0.000, 0.000, 0.000], [0.333, 0.667, 0.676], [0.667, 0.333, 0.414]],
  "density_g_cm3": 13.18
}

Energetically preferred structure: entry 2 | next structure: +0.057 eV/atom